No. 1
# SmHo2PuAs4

A relaxed structure of SmHo2PuAs4 (PBE, Alexandria).

Cell lengths 7.155, 4.144, 7.163 Å; angles 90.00, 109.48, 90.00 degrees
Fractional coordinates of all 8 atoms:
1 Sm 0.000 0.000 0.000
2 Ho 0.500 0.000 0.500
3 Ho 0.500 0.500 0.000
4 Pu 0.000 0.500 0.500
5 As 0.252 0.000 0.747
6 As 0.255 0.500 0.255
7 As 0.745 0.500 0.745
8 As 0.748 0.000 0.253

Values from the calculation:
- Size of the total moment: 4.9 μB per cell
- Electronic total energy: -57.9 eV/cell
- Space group: P2/m (10)

***

No. 2
# Sm2Ho3PuAs6

A relaxed structure of Sm2Ho3PuAs6 (PBE, Alexandria).

Cell lengths 9.257, 9.257, 8.286 Å; angles 102.87, 102.87, 25.90 degrees
Fractional coordinates of all 12 atoms:
1 Sm 0.167 0.167 0.335
2 Sm 0.833 0.833 0.665
3 Ho 0.168 0.168 0.833
4 Ho 0.500 0.500 0.500
5 Ho 0.832 0.832 0.167
6 Pu 0.500 0.500 0.000
7 As 0.002 0.002 0.752
8 As 0.334 0.334 0.922
9 As 0.335 0.335 0.412
10 As 0.665 0.665 0.588
11 As 0.666 0.666 0.078
12 As 0.998 0.998 0.248

Values from the calculation:
- Size of the total moment: 4.9 μB per cell
- Electronic total energy: -82.6 eV/cell
- Space group: C2/m (12)

***

No. 3
# Sm2HoPuAs4

A relaxed structure of Sm2HoPuAs4 (PBE, Alexandria).

Cell lengths 7.202, 4.172, 7.208 Å; angles 90.00, 109.45, 90.00 degrees
Fractional coordinates of all 8 atoms:
1 Sm 0.000 0.000 0.000
2 Sm 0.500 0.500 0.000
3 Ho 0.000 0.500 0.500
4 Pu 0.500 0.000 0.500
5 As 0.248 0.000 0.742
6 As 0.253 0.500 0.258
7 As 0.747 0.500 0.742
8 As 0.752 0.000 0.258

Values from the calculation:
- Size of the total moment: 4.9 μB per cell
- Electronic total energy: -58.1 eV/cell
- Space group: P2/m (10)

***

No. 4
# Ho2PuThAs4

A relaxed structure of Ho2PuThAs4 (PBE, Alexandria).

Cell lengths 7.185, 4.164, 7.197 Å; angles 90.00, 109.60, 90.00 degrees
Fractional coordinates of all 8 atoms:
1 Ho 0.000 0.000 0.000
2 Ho 0.000 0.500 0.500
3 Pu 0.500 0.000 0.500
4 Th 0.500 0.500 0.000
5 As 0.243 0.000 0.745
6 As 0.246 0.500 0.252
7 As 0.754 0.500 0.748
8 As 0.757 0.000 0.255

Values from the calculation:
- Size of the total moment: 5.3 μB per cell
- Electronic total energy: -60.6 eV/cell
- Space group: P2/m (10)

***

No. 5
# HoPuTh2As4

A relaxed structure of HoPuTh2As4 (PBE, Alexandria).

Cell lengths 7.231, 4.212, 7.280 Å; angles 90.00, 109.69, 90.00 degrees
Fractional coordinates of all 8 atoms:
1 Ho 0.000 0.000 0.000
2 Pu 0.000 0.500 0.500
3 Th 0.500 0.000 0.500
4 Th 0.500 0.500 0.000
5 As 0.242 0.000 0.749
6 As 0.242 0.500 0.246
7 As 0.758 0.000 0.251
8 As 0.758 0.500 0.754

Values from the calculation:
- Size of the total moment: 5.6 μB per cell
- Electronic total energy: -63.2 eV/cell
- Space group: P2/m (10)

***

No. 6
# Ho3PuTh2As6

A relaxed structure of Ho3PuTh2As6 (PBE, Alexandria).

Cell lengths 9.304, 9.304, 8.308 Å; angles 102.73, 102.73, 25.93 degrees
Fractional coordinates of all 12 atoms:
1 Ho 0.000 0.000 0.000
2 Ho 0.333 0.333 0.666
3 Ho 0.667 0.667 0.334
4 Pu 0.000 0.000 0.500
5 Th 0.335 0.335 0.170
6 Th 0.665 0.665 0.830
7 As 0.165 0.165 0.088
8 As 0.168 0.168 0.577
9 As 0.498 0.498 0.750
10 As 0.502 0.502 0.250
11 As 0.832 0.832 0.423
12 As 0.835 0.835 0.912

Values from the calculation:
- Size of the total moment: 5.5 μB per cell
- Electronic total energy: -87.7 eV/cell
- Space group: C2/m (12)